No. 1
# LiZrMn

A crystal of LiZrMn relaxed with PBEsol (meta-GGA SCAN, Alexandria via LeMat-Bulk).

Geometry as POSCAR:
```
LiZrMn
1.0
-1.4777 1.4777 5.9988
1.4777 -1.4777 5.9988
1.4777 1.4777 -5.9988
Li Zr Mn
1 1 1
Cartesian
0.0000 0.0000 0.0000
0.0000 0.0000 3.6010
0.0000 0.0000 7.7681
```

Calculated formation energy, eV/atom: 0.09
SG: I4mm (107)
DOS at the Fermi energy, states/eV per cell: 1.91
Polymorph energy (0 for the lowest one), meV/atom: 0
Uncorrected energy, eV/atom: -17.020

***

No. 2
# SrHg11

A crystal of SrHg11 relaxed with PBEsol (meta-GGA SCAN, Alexandria via LeMat-Bulk).

Geometry as POSCAR:
```
SrHg11
1.0
9.5373 0.0000 0.0000
0.0000 9.5373 0.0000
0.0000 0.0000 9.5373
Sr Hg
3 33
Cartesian
0.0000 0.0000 4.7686
0.0000 4.7686 0.0000
4.7686 0.0000 0.0000
0.0000 3.2812 3.2812
0.0000 3.2812 6.2560
0.0000 6.2560 3.2812
0.0000 6.2560 6.2560
1.4683 1.4683 1.4683
1.4683 1.4683 8.0690
1.4683 8.0690 1.4683
1.4683 8.0690 8.0690
2.5441 2.5441 4.7686
2.5441 4.7686 2.5441
2.5441 4.7686 6.9932
2.5441 6.9932 4.7686
3.2812 0.0000 3.2812
3.2812 0.0000 6.2560
3.2812 3.2812 0.0000
3.2812 6.2560 0.0000
4.7686 2.5441 2.5441
4.7686 2.5441 6.9932
4.7686 4.7686 4.7686
4.7686 6.9932 2.5441
4.7686 6.9932 6.9932
6.2560 0.0000 3.2812
6.2560 0.0000 6.2560
6.2560 3.2812 0.0000
6.2560 6.2560 0.0000
6.9932 2.5441 4.7686
6.9932 4.7686 2.5441
6.9932 4.7686 6.9932
6.9932 6.9932 4.7686
8.0690 1.4683 1.4683
8.0690 1.4683 8.0690
8.0690 8.0690 1.4683
8.0690 8.0690 8.0690
```

Calculated formation energy, eV/atom: -0.15
SG: Pm-3m (221)
DOS at the Fermi energy, states/eV per cell: 13.87
Uncorrected energy, eV/atom: -64.494

***

No. 3
# FeOsBr3

A crystal of FeOsBr3 relaxed with PBEsol (meta-GGA SCAN, Alexandria via LeMat-Bulk).

Geometry as POSCAR:
```
FeOsBr3
1.0
4.9681 0.0000 0.0000
0.0000 4.9681 0.0000
0.0000 0.0000 4.9681
Fe Os Br
1 1 3
Cartesian
0.0000 0.0000 0.0000
2.4840 2.4840 2.4840
0.0000 2.4840 2.4840
2.4840 0.0000 2.4840
2.4840 2.4840 0.0000
```

SG: Pm-3m (221)
DOS at the Fermi energy, states/eV per cell: 7.86
E_form (uncorrected), eV per atom: 0.922
Uncorrected energy, eV/atom: -28.756

***

No. 4
# TiF4

A crystal of TiF4 relaxed with PBEsol (meta-GGA SCAN, Alexandria via LeMat-Bulk).

Geometry as POSCAR:
```
TiF4
1.0
4.9049 0.0000 0.0000
-1.8709 5.2273 0.0000
-0.0225 -2.0615 5.5172
Ti F
2 8
Cartesian
0.2819 1.9003 1.7840
2.7296 1.2655 3.7333
-0.6273 2.3374 3.6326
-0.4058 3.3775 1.1444
0.9881 1.2046 0.3484
1.1828 0.4569 2.9756
1.8287 2.7089 2.5416
2.0234 1.9612 5.1688
3.4174 -0.2117 4.3729
3.6388 0.8284 1.8846
```

SG: P-1 (2)
DOS at the Fermi energy, states/eV per cell: 0.00
E_form (uncorrected), eV per atom: -3.494
Polymorph energy (0 for the lowest one), meV/atom: 29
Uncorrected energy, eV/atom: -9.532